Material: RbFeN2F
Method: DFT, PBE+U
State: optimized geometry

Unit cell a=3.799 b=3.799 c=5.025 alpha=90.00 beta=90.00 gamma=90.00
Space group P4/mmm (No. 123)
Asymmetric unit:
Rb 0.000 0.000 0.000
Fe 0.500 0.500 0.500
N 0.000 0.500 0.500
F 0.500 0.500 0.000

Summary:
Magnetic moment ... 3.69 μB/f.u.
Electronic total energy ... -4.9204 eV per atom
Energy above the lowest structure with this stoichiometry ... 0.0 meV/atom